1.
# EuGdTe

Crystalline EuGdTe at its relaxed geometry (PBE, the Alexandria database).

a b c (Å): 4.212 5.296 5.296
angles (deg): 120.00 90.00 90.00
Last column: magnetic moment on the atom in μB.
Fractional coordinates of all 3 atoms:
1 Gd 0.167 0.000 0.000  7.45
2 Te 0.166 0.333 0.667  -0.03
3 Eu 0.667 0.667 0.333  7.05

Summary:
* N(E_F): 1.712 states/eV/atom
* uncorrected formation energy: -0.658 eV per atom



2.
# EuGdTh

Crystalline EuGdTh at its relaxed geometry (PBE, the Alexandria database).

a b c (Å): 3.648 3.648 9.059
angles (deg): 90.00 90.00 120.00
Last column: magnetic moment on the atom in μB.
Fractional coordinates of all 3 atoms:
1 Eu 0.000 0.000 0.327  7.00
2 Th 0.333 0.667 0.990  0.10
3 Gd 0.667 0.333 0.684  -7.11

Summary:
* ΔH_f (0 K): 82 meV/atom
* N(E_F): 1.758 states/eV/atom



3.
# EuGdTh

Crystalline EuGdTh at its relaxed geometry (PBE, the Alexandria database).

a b c (Å): 3.633 3.633 8.288
angles (deg): 102.66 102.66 90.00
Last column: magnetic moment on the atom in μB.
Fractional coordinates of all 3 atoms:
1 Th 0.673 0.673 0.346  0.17
2 Gd 0.321 0.321 0.643  -7.13
3 Eu 0.006 0.006 0.011  6.99

Summary:
* ΔH_f (0 K): 82 meV/atom
* N(E_F): 1.329 states/eV/atom



4.
# Eu2GdTh

Crystalline Eu2GdTh at its relaxed geometry (PBE, the Alexandria database).

a b c (Å): 3.539 3.539 13.272
angles (deg): 82.34 82.34 60.00
Last column: magnetic moment on the atom in μB.
Fractional coordinates of all 4 atoms:
1 Th 0.000 0.000 0.000  -0.05
2 Eu 0.912 0.912 0.263  -7.00
3 Eu 0.088 0.088 0.737  -7.00
4 Gd 0.500 0.500 0.500  7.26

Summary:
* ΔH_f (0 K): 265 meV/atom
* N(E_F): 1.698 states/eV/atom



5.
# EuGdTmTh

Crystalline EuGdTmTh at its relaxed geometry (PBE, the Alexandria database).

a b c (Å): 5.737 5.737 5.737
angles (deg): 60.00 60.00 60.00
Last column: magnetic moment on the atom in μB.
Fractional coordinates of all 4 atoms:
1 Eu 0.500 0.500 0.500  6.86
2 Gd 0.750 0.750 0.750  7.20
3 Th 0.000 0.000 0.000  0.03
4 Tm 0.250 0.250 0.250  0.00

Summary:
* ΔH_f (0 K): 201 meV/atom
* N(E_F): 2.069 states/eV/atom



6.
# EuGdYTh

Crystalline EuGdYTh at its relaxed geometry (PBE, the Alexandria database).

a b c (Å): 5.760 5.760 5.760
angles (deg): 60.00 60.00 60.00
Last column: magnetic moment on the atom in μB.
Fractional coordinates of all 4 atoms:
1 Eu 0.500 0.500 0.500  -6.81
2 Y 0.750 0.750 0.750  0.09
3 Th 0.250 0.250 0.250  0.17
4 Gd 0.000 0.000 0.000  7.39

Summary:
* ΔH_f (0 K): 236 meV/atom
* N(E_F): 2.245 states/eV/atom



What is the N(E_F) in the fifth record? 2.069 states/eV/atom



Which formula does entry 4 have? Eu2GdTh



Copy entry 4 word for word.
# Eu2GdTh

Crystalline Eu2GdTh at its relaxed geometry (PBE, the Alexandria database).

a b c (Å): 3.539 3.539 13.272
angles (deg): 82.34 82.34 60.00
Last column: magnetic moment on the atom in μB.
Fractional coordinates of all 4 atoms:
1 Th 0.000 0.000 0.000  -0.05
2 Eu 0.912 0.912 0.263  -7.00
3 Eu 0.088 0.088 0.737  -7.00
4 Gd 0.500 0.500 0.500  7.26

Summary:
* ΔH_f (0 K): 265 meV/atom
* N(E_F): 1.698 states/eV/atom